Entry 1:
# Hf3Fe2As4Pd2

A geometry-optimized Hf3Fe2As4Pd2 structure (GGA-PBE, OQMD).

Geometry as POSCAR:
```
Hf3Fe2As4Pd2
1.0
6.5185 0.0000 0.0000
0.0000 3.8619 0.0000
-0.0065 0.0000 7.5001
As Hf Pd Fe
4 3 2 2
direct
0.2508 0.0000 0.3586
0.7548 0.5000 0.6595
0.2439 0.5000 0.8862
0.7541 0.0000 0.0882
0.5397 0.5000 0.3180
0.0277 0.5000 0.1798
0.4627 0.0000 0.6908
0.1430 0.5000 0.5657
0.8365 0.0000 0.4391
0.3790 0.0000 0.0531
0.6099 0.5000 0.9583
```

Mass density ... 10.2 g cm⁻³
Final energy ... -7.542 eV per atom

Entry 2:
# LaMgAg2

A geometry-optimized LaMgAg2 structure (GGA-PBE, OQMD).

Geometry as POSCAR:
```
LaMgAg2
1.0
-0.3503 1.2348 3.2160
1.7660 -2.7111 1.2334
6.4453 3.8461 -0.7746
Ag La Mg
2 1 1
direct
0.5000 0.5000 0.2052
0.5000 0.5000 0.7948
0.0000 0.0000 0.5000
0.0000 0.0000 0.0000
```

Mass density ... 7.0 g cm⁻³
Final energy ... -3.266 eV per atom

Entry 3:
# ThInIr

A geometry-optimized ThInIr structure (GGA-PBE, OQMD).

Geometry as POSCAR:
```
ThInIr
1.0
0.0000 3.3874 3.3874
3.3874 0.0000 3.3874
3.3874 3.3874 0.0000
Ir In Th
1 1 1
direct
0.0000 0.0000 0.0000
0.7500 0.7500 0.7500
0.2500 0.2500 0.2500
```

Mass density ... 11.5 g cm⁻³
Final energy ... -6.934 eV per atom

Entry 4:
# AcTaNO

A geometry-optimized AcTaNO structure (GGA-PBE, OQMD).

Geometry as POSCAR:
```
AcTaNO
1.0
-2.0640 -3.5750 0.0000
0.0000 0.0000 5.7721
-4.8296 2.7883 0.0000
N Ta Ac O
2 2 2 2
direct
0.0000 0.7506 0.5005
0.0000 0.2506 0.4995
0.0000 0.0010 0.7484
0.0000 0.5010 0.2517
0.5000 0.5012 0.7399
0.5000 0.0012 0.2601
0.5000 0.0012 0.7747
0.5000 0.5012 0.2253
```

Relative energy among the computed polymorphs ... 0.114 eV per atom
Mass density ... 10.9 g cm⁻³
Final energy ... -8.983 eV per atom

Entry 5:
# HoLuAg2Pb2

A geometry-optimized HoLuAg2Pb2 structure (GGA-PBE, OQMD).

Geometry as POSCAR:
```
HoLuAg2Pb2
1.0
4.7863 0.0000 0.0000
-2.3931 4.1450 0.0000
0.0000 0.0000 7.4199
Ho Pb Ag Lu
1 2 2 1
direct
0.0000 0.0000 0.9950
0.6667 0.3333 0.7718
0.3333 0.6667 0.2739
0.6667 0.3333 0.1757
0.3333 0.6667 0.6738
0.0000 0.0000 0.4959
```

Mass density ... 10.9 g cm⁻³
Final energy ... -4.052 eV per atom

Entry 6:
# NdMg2H7

A geometry-optimized NdMg2H7 structure (GGA-PBE, OQMD).

Geometry as POSCAR:
```
NdMg2H7
1.0
6.1944 0.0000 0.0000
0.0000 6.1944 0.0000
0.0000 0.0000 9.3149
Mg H Nd
8 28 4
direct
0.4723 0.2377 0.8491
0.7623 0.5277 0.6509
0.0277 0.7377 0.4009
0.2623 0.9723 0.0991
0.7377 0.0277 0.5991
0.5277 0.7623 0.3491
0.2377 0.4723 0.1509
0.9723 0.2623 0.9009
0.5741 0.9371 0.1769
0.9652 0.0359 0.3783
0.3404 0.1917 0.2475
0.0359 0.9652 0.6217
0.5359 0.5348 0.1283
0.3083 0.8404 0.4975
0.7426 0.7426 0.5000
0.2574 0.2574 0.0000
0.0741 0.5629 0.5731
0.1596 0.6917 0.0025
0.1917 0.3404 0.7525
0.5629 0.0741 0.4269
0.9641 0.0348 0.1217
0.4652 0.4641 0.3717
0.2426 0.7574 0.2500
0.4371 0.9259 0.9269
0.9259 0.4371 0.0731
0.8404 0.3083 0.5025
0.7574 0.2426 0.7500
0.4641 0.4652 0.6283
0.0629 0.4259 0.3231
0.4259 0.0629 0.6769
0.5348 0.5359 0.8717
0.0348 0.9641 0.8783
0.6917 0.1596 0.9975
0.9371 0.5741 0.8231
0.8083 0.6596 0.2525
0.6596 0.8083 0.7475
0.7727 0.7727 0.0000
0.2727 0.7273 0.7500
0.7273 0.2727 0.2500
0.2273 0.2273 0.5000
```

Mass density ... 3.7 g cm⁻³
Final energy ... -3.464 eV per atom